[1]
YInSiPt2 | PBE | relaxed

```
YInSiPt2
1.0
-2.5591 -3.7031 0.9966
3.6718 -1.6145 3.4292
-2.1015 2.3564 3.3595
Y Si Pt In
1 1 2 1
direct
0.0000 0.5000 0.0000 Y
0.0000 0.0000 0.0000 Si
0.0000 0.0000 0.5000 Pt
0.5000 0.0000 0.0000 Pt
0.5000 0.5000 0.5000 In
```

=====

[2]
Sm5In4Pt2 | PBE | relaxed

```
Sm5In4Pt2
1.0
3.7427 0.0000 0.0000
0.0000 8.2130 0.0000
0.0000 0.0000 18.5501
Sm In Pt
10 8 4
direct
0.0000 0.1158 0.4157 Sm
0.0000 0.8842 0.5843 Sm
0.0000 0.3842 0.9157 Sm
0.0000 0.6158 0.0843 Sm
0.0000 0.2424 0.2208 Sm
0.0000 0.7576 0.7792 Sm
0.0000 0.2576 0.7208 Sm
0.0000 0.7424 0.2792 Sm
0.0000 0.0000 0.0000 Sm
0.0000 0.5000 0.5000 Sm
0.5000 0.4270 0.3514 In
0.5000 0.5730 0.6486 In
0.5000 0.0730 0.8514 In
0.5000 0.9270 0.1486 In
0.5000 0.2891 0.0689 In
0.5000 0.7109 0.9311 In
0.5000 0.2109 0.5689 In
0.5000 0.7891 0.4311 In
0.5000 0.0234 0.3038 Pt
0.5000 0.9766 0.6962 Pt
0.5000 0.4766 0.8038 Pt
0.5000 0.5234 0.1962 Pt
```

=====

[3]
SmIn2Pt | PBE | relaxed

```
SmIn2Pt
1.0
-3.7348 -2.4726 1.6988
-1.3250 -0.8079 -4.0889
2.3970 -3.6577 -0.0541
Sm Pt In
1 1 2
direct
0.5000 0.0000 0.0000 Sm
0.5000 0.5000 0.5000 Pt
0.0000 0.0000 0.5000 In
0.0000 0.5000 0.0000 In
```

=====

[4]
Sm4In12Pt | PBE | relaxed

```
Sm4In12Pt
1.0
7.7339 0.0000 -2.7344
-3.8670 6.6978 -2.7344
0.0000 0.0000 8.2031
Sm In Pt
4 12 1
direct
0.0000 0.0000 0.5000 Sm
0.5000 0.0000 0.0000 Sm
0.5000 0.5000 0.5000 Sm
0.0000 0.5000 0.0000 Sm
0.0000 0.2853 0.2853 In
0.0000 0.7147 0.7147 In
0.7147 0.7147 0.0000 In
0.2853 0.2853 0.0000 In
0.2853 0.0000 0.2853 In
0.7147 0.0000 0.7147 In
0.5000 0.2500 0.7500 In
0.5000 0.7500 0.2500 In
0.7500 0.2500 0.5000 In
0.2500 0.7500 0.5000 In
0.7500 0.5000 0.2500 In
0.2500 0.5000 0.7500 In
0.0000 0.0000 0.0000 Pt
```

=====

[5]
Sm2In3Pt4 | PBE | relaxed

```
Sm2In3Pt4
1.0
7.4396 -0.0286 0.0000
-2.4738 6.9348 0.0000
0.0000 0.0000 7.4836
Sm In Pt
4 6 8
direct
0.5592 0.1926 0.3226 Sm
0.9408 0.8074 0.8226 Sm
0.4408 0.8074 0.6774 Sm
0.0592 0.1926 0.1774 Sm
0.0000 0.5000 0.5000 In
0.5000 0.5000 0.0000 In
0.7464 0.2470 0.8433 In
0.7536 0.7530 0.3433 In
0.2536 0.7530 0.1567 In
0.2464 0.2470 0.6567 In
0.8413 0.0815 0.5428 Pt
0.6587 0.9185 0.0428 Pt
0.1587 0.9185 0.4572 Pt
0.3413 0.0815 0.9572 Pt
0.8667 0.5031 0.1337 Pt
0.6333 0.4969 0.6337 Pt
0.1333 0.4969 0.8663 Pt
0.3667 0.5031 0.3663 Pt
```

Computed properties:
Energy relative to the lowest polymorph listed for this composition in meV per atom: 0

=====

[6]
SmIn3Pt3 | PBE | relaxed

```
SmIn3Pt3
1.0
8.0870 0.0000 0.0000
4.0435 7.0036 0.0000
4.0435 2.3345 5.5833
Sm In Pt
2 6 6
direct
0.3321 0.3321 0.0036 Sm
0.6679 0.6679 0.9964 Sm
0.4505 0.7832 0.6475 In
0.7832 0.1188 0.6475 In
0.1188 0.4505 0.6475 In
0.8812 0.5495 0.3525 In
0.2168 0.8812 0.3525 In
0.5495 0.2168 0.3525 In
0.2445 0.6489 0.1607 Pt
0.9459 0.2445 0.1607 Pt
0.6489 0.9459 0.1607 Pt
0.3511 0.0541 0.8393 Pt
0.0541 0.7555 0.8393 Pt
0.7555 0.3511 0.8393 Pt
```

Computed properties:
Energy relative to the lowest polymorph listed for this composition in meV per atom: 0

=====

[7]
SmIn5Pt3 | PBE | relaxed

```
SmIn5Pt3
1.0
-2.1640 -1.0177 2.9666
1.4894 -6.5448 -3.6059
11.8601 -1.7390 8.0549
Sm In Pt
2 10 6
direct
0.8291 0.6581 0.7500 Sm
0.1709 0.3419 0.2500 Sm
0.8018 0.6036 0.4357 In
0.1982 0.3964 0.9357 In
0.0000 0.0000 0.5000 In
0.0000 0.0000 0.0000 In
0.4508 0.9016 0.1537 In
0.5492 0.0984 0.8463 In
0.5492 0.0984 0.6537 In
0.8018 0.6036 0.0643 In
0.1982 0.3964 0.5643 In
0.4508 0.9016 0.3463 In
0.3805 0.7611 0.9255 Pt
0.8413 0.6826 0.2500 Pt
0.3805 0.7611 0.5745 Pt
0.6195 0.2389 0.4255 Pt
0.1587 0.3174 0.7500 Pt
0.6195 0.2389 0.0745 Pt
```

=====

[8]
Sm8InPt2 | PBE | relaxed

```
Sm8InPt2
1.0
-5.4407 1.2110 0.5582
-0.1777 -7.5363 3.2116
2.9682 5.7728 5.0007
Sm In Pt
8 1 2
direct
0.9303 0.9213 0.6730 Sm
0.9303 0.6730 0.9213 Sm
0.3066 0.6070 0.6070 Sm
0.5000 0.7538 0.2462 Sm
0.5000 0.2462 0.7538 Sm
0.6934 0.3930 0.3930 Sm
0.0697 0.3270 0.0787 Sm
0.0697 0.0787 0.3270 Sm
0.5000 0.0000 0.0000 In
0.0000 0.3033 0.6967 Pt
0.0000 0.6967 0.3033 Pt
```

=====

[9]
Sm6In3Pt | PBE | relaxed

```
Sm6In3Pt
1.0
5.1664 0.0000 0.0000
0.0000 9.4444 -3.2036
0.0000 -0.2354 11.8348
Sm In Pt
12 6 2
direct
0.2500 0.4649 0.0891 Sm
0.7500 0.5351 0.9109 Sm
0.2500 0.1256 0.1412 Sm
0.7500 0.8744 0.8588 Sm
0.2500 0.6568 0.6864 Sm
0.7500 0.3432 0.3136 Sm
0.2500 0.2562 0.4818 Sm
0.7500 0.7438 0.5182 Sm
0.2500 0.8847 0.3604 Sm
0.7500 0.1153 0.6396 Sm
0.2500 0.1029 0.8524 Sm
0.7500 0.8971 0.1476 Sm
0.2500 0.5425 0.3793 In
0.7500 0.4575 0.6207 In
0.2500 0.3685 0.7690 In
0.7500 0.6315 0.2310 In
0.2500 0.7697 0.9856 In
0.7500 0.2303 0.0144 In
0.2500 0.9047 0.6100 Pt
0.7500 0.0953 0.3900 Pt
```

Computed properties:
Energy relative to the lowest polymorph listed for this composition in meV per atom: 0

=====

[10]
SmInPt | PBE | relaxed

```
SmInPt
1.0
3.6518 0.0000 0.0000
0.0000 4.7122 0.0000
0.0000 -2.3561 4.0809
Sm Pt In
1 1 1
direct
0.6665 0.6667 0.3333 Sm
0.1670 0.0000 0.0000 Pt
0.1666 0.3333 0.6667 In
```

=====

[11]
SmIn2Pt | PBE | relaxed

```
SmIn2Pt
1.0
-3.8904 -4.2519 -0.2407
2.5128 -1.9048 -6.9656
11.0873 -10.5340 6.8803
Sm In Pt
8 16 8
direct
0.4689 0.2500 0.1445 Sm
0.9689 0.7500 0.3555 Sm
0.5311 0.7500 0.8555 Sm
0.0311 0.2500 0.6445 Sm
0.7338 0.2500 0.3936 Sm
0.2338 0.7500 0.1064 Sm
0.2662 0.7500 0.6064 Sm
0.7662 0.2500 0.8936 Sm
0.9731 0.0504 0.2156 In
0.4731 0.9496 0.2844 In
0.0269 0.5504 0.7844 In
0.5269 0.4496 0.7156 In
0.0269 0.9496 0.7844 In
0.5269 0.0504 0.7156 In
0.9731 0.4496 0.2156 In
0.4731 0.5504 0.2844 In
0.7374 0.5483 0.0326 In
0.2374 0.4517 0.4674 In
0.2626 0.0483 0.9674 In
0.7626 0.9517 0.5326 In
0.2626 0.4517 0.9674 In
0.7626 0.5483 0.5326 In
0.7374 0.9517 0.0326 In
0.2374 0.0483 0.4674 In
0.2312 0.2500 0.3281 Pt
0.7312 0.7500 0.1719 Pt
0.7688 0.7500 0.6719 Pt
0.2688 0.2500 0.8281 Pt
0.9862 0.2500 0.0731 Pt
0.4862 0.7500 0.4269 Pt
0.0138 0.7500 0.9269 Pt
0.5138 0.2500 0.5731 Pt
```

=====

[12]
Sm2In5Pt3 | PBE | relaxed

```
Sm2In5Pt3
1.0
-1.6719 1.3775 -3.9537
-3.9816 -6.2032 -0.4776
-9.3295 5.3433 8.3769
Sm In Pt
4 10 6
direct
0.4778 0.7789 0.9557 Sm
0.1752 0.7017 0.3504 Sm
0.8248 0.2017 0.6496 Sm
0.5222 0.2789 0.0443 Sm
0.4013 0.4049 0.8026 In
0.2924 0.4946 0.5848 In
0.7076 0.9946 0.4152 In
0.1242 0.2534 0.2483 In
0.2931 0.9050 0.5861 In
0.9471 0.1114 0.8942 In
0.7069 0.4050 0.4139 In
0.8758 0.7534 0.7517 In
0.0529 0.6114 0.1058 In
0.5987 0.9049 0.1974 In
0.7717 0.6988 0.5434 Pt
0.6094 0.5197 0.2188 Pt
0.0449 0.9964 0.0898 Pt
0.2283 0.1988 0.4566 Pt
0.9551 0.4964 0.9102 Pt
0.3906 0.0197 0.7812 Pt
```

=====

[13]
SmIn4Pt2 | PBE | relaxed

```
SmIn4Pt2
1.0
-1.9110 3.7516 0.4200
-2.6848 -1.0025 -3.2609
-4.3548 -3.0481 7.4123
Sm In Pt
1 4 2
direct
0.0000 0.0000 0.0000 Sm
0.5000 0.8293 0.6587 In
0.0000 0.6792 0.3584 In
0.5000 0.1707 0.3413 In
0.0000 0.3208 0.6416 In
0.5000 0.5741 0.1481 Pt
0.5000 0.4259 0.8519 Pt
```

Computed properties:
Energy relative to the lowest polymorph listed for this composition in meV per atom: 184

=====

[14]
SmIn3Pt3 | PBE | relaxed

```
SmIn3Pt3
1.0
7.3094 0.0000 0.0000
0.0000 7.3094 0.0000
0.0000 0.0000 7.3094
Sm Pt In
2 6 6
direct
0.5000 0.5000 0.5000 Sm
0.0000 0.0000 0.0000 Sm
0.0000 0.2500 0.5000 Pt
0.0000 0.7500 0.5000 Pt
0.5000 0.0000 0.7500 Pt
0.7500 0.5000 0.0000 Pt
0.5000 0.0000 0.2500 Pt
0.2500 0.5000 0.0000 Pt
0.2500 0.0000 0.5000 In
0.0000 0.5000 0.2500 In
0.5000 0.7500 0.0000 In
0.7500 0.0000 0.5000 In
0.0000 0.5000 0.7500 In
0.5000 0.2500 0.0000 In
```

Computed properties:
Energy relative to the lowest polymorph listed for this composition in meV per atom: 531

=====

[15]
SmIn4Pt2 | PBE | relaxed

```
SmIn4Pt2
1.0
4.5203 0.0000 0.0000
0.0000 7.3136 0.0000
0.0000 0.0000 18.6508
Pt Sm In
8 4 16
direct
0.2500 0.7513 0.5424 Pt
0.7500 0.2487 0.4576 Pt
0.7500 0.2513 0.9576 Pt
0.2500 0.7487 0.0424 Pt
0.2500 0.9578 0.7820 Pt
0.7500 0.0422 0.2180 Pt
0.7500 0.4578 0.7180 Pt
0.2500 0.5422 0.2820 Pt
0.7500 0.9640 0.6421 Sm
0.2500 0.0360 0.3579 Sm
0.2500 0.4640 0.8579 Sm
0.7500 0.5360 0.1421 Sm
0.2500 0.2529 0.6899 In
0.7500 0.7471 0.3101 In
0.7500 0.7529 0.8101 In
0.2500 0.2471 0.1899 In
0.2500 0.6669 0.6864 In
0.7500 0.3331 0.3136 In
0.7500 0.1669 0.8136 In
0.2500 0.8331 0.1864 In
0.2500 0.1421 0.5346 In
0.7500 0.8579 0.4654 In
0.7500 0.6421 0.9654 In
0.2500 0.3579 0.0346 In
0.2500 0.4989 0.4303 In
0.7500 0.5011 0.5697 In
0.7500 0.9989 0.0697 In
0.2500 0.0011 0.9303 In
```

Computed properties:
Energy relative to the lowest polymorph listed for this composition in meV per atom: 0

=====

[16]
Sm11In9Pt4 | PBE | relaxed

```
Sm11In9Pt4
1.0
-2.0505 0.0276 -3.1671
-0.0657 -13.4294 -0.0744
-10.3766 5.1906 6.7633
Sm In Pt
11 9 4
direct
0.0000 0.5857 0.9267 Sm
0.0000 0.4143 0.0733 Sm
0.0000 0.9267 0.5857 Sm
0.0000 0.0733 0.4143 Sm
0.0000 0.6269 0.3731 Sm
0.0000 0.3731 0.6269 Sm
0.0000 0.8385 0.1615 Sm
0.0000 0.1615 0.8385 Sm
0.0000 0.0000 0.0000 Sm
0.0000 0.6903 0.6903 Sm
0.0000 0.3097 0.3097 Sm
0.5000 0.6333 0.1588 In
0.5000 0.3667 0.8412 In
0.5000 0.1588 0.6333 In
0.5000 0.8412 0.3667 In
0.5000 0.7843 0.9263 In
0.5000 0.2157 0.0737 In
0.5000 0.9263 0.7843 In
0.5000 0.0737 0.2157 In
0.5000 0.5000 0.5000 In
0.5000 0.5517 0.7543 Pt
0.5000 0.4483 0.2457 Pt
0.5000 0.7543 0.5517 Pt
0.5000 0.2457 0.4483 Pt
```

=====

[17]
Sm2InPt | PBE | relaxed

```
Sm2InPt
1.0
-0.6671 -3.8768 -0.7324
0.9711 -1.5606 -3.5542
7.7103 -3.6685 1.4650
Sm Pt In
2 1 1
direct
0.2647 0.2647 0.2058 Sm
0.7353 0.7353 0.7942 Sm
0.0000 0.0000 0.0000 Pt
0.5000 0.5000 0.5000 In
```

Computed properties:
Energy relative to the lowest polymorph listed for this composition in meV per atom: 111

=====

[18]
Sm6InPt | PBE | relaxed

```
Sm6InPt
1.0
7.2140 0.0228 -0.0353
3.6111 6.3084 -0.0156
3.5562 2.0938 6.1192
Sm In Pt
6 1 1
direct
0.0373 0.4279 0.7553 Sm
0.7780 0.0331 0.7537 Sm
0.5713 0.2192 0.2455 Sm
0.2220 0.9669 0.2463 Sm
0.9627 0.5721 0.2447 Sm
0.4287 0.7808 0.7545 Sm
0.5000 0.5000 0.5000 In
0.0000 0.0000 0.0000 Pt
```

=====

Size of the total moment values, unit μB/f.u., following the record order: 0.0, 0.0, 0.0, 0.0, 0.0, 0.0, 0.0, 0.0, 0.0, 0.0, 0.0, 0.0, 0.0, 0.0, 0.0, 0.0, 0.0, 0.0.
DFT total energy values, unit eV/atom, following the record order: -5.5485, -5.0319, -4.6083, -3.8700, -5.4698, -5.0226, -4.4978, -5.2419, -4.7588, -5.3170, -4.7764, -4.8667, -4.4208, -4.4912, -4.6047, -4.9675, -5.2392, -4.7868.